Density functional theory data (PBE-GGA) for MnReSnCSe after structural relaxation.

abc: 2.937 5.296 7.233
angles: 103.39 101.36 106.05
Sites, in units of the cell vectors:
Mn  0.000  0.000  0.000
Re  0.699  0.462  0.934
Sn  0.846  0.045  0.629
C  0.347  0.734  0.958
Se  0.778  0.329  0.235

## Properties
The symmetry is P1, No. 1. As for the size of the total moment: 1.867 μB per formula unit. The energy above the lowest structure with this stoichiometry is 134 meV per atom. The formation energy from raw total energies is 0.24 eV per atom.